Record 1
Density functional theory data (PBE) for crystalline Dy2AlNi2Pt5 at its relaxed geometry.

Geometry as CIF:
```
data_Dy2AlNi2Pt5
_cell_length_a 9.229
_cell_length_b 9.229
_cell_length_c 3.907
_cell_angle_alpha 90.00
_cell_angle_beta 90.00
_cell_angle_gamma 90.00
_symmetry_space_group_name_H-M 'P 1'
_symmetry_Int_Tables_number 1
_symmetry_space_group_name_Hall 'P 1'
loop_
_atom_site_label
_atom_site_type_symbol
_atom_site_fract_x
_atom_site_fract_y
_atom_site_fract_z
Dy1 Dy 0.173 0.327 0.000
Dy2 Dy 0.327 0.827 0.000
Dy3 Dy 0.673 0.173 0.000
Dy4 Dy 0.827 0.673 0.000
Al1 Al 0.000 0.000 0.000
Al2 Al 0.500 0.500 0.000
Ni1 Ni 0.125 0.625 0.000
Ni2 Ni 0.375 0.125 0.000
Ni3 Ni 0.625 0.875 0.000
Ni4 Ni 0.875 0.375 0.000
Pt1 Pt 0.000 0.500 0.500
Pt2 Pt 0.069 0.796 0.500
Pt3 Pt 0.204 0.069 0.500
Pt4 Pt 0.296 0.569 0.500
Pt5 Pt 0.431 0.296 0.500
Pt6 Pt 0.500 0.000 0.500
Pt7 Pt 0.569 0.704 0.500
Pt8 Pt 0.704 0.431 0.500
Pt9 Pt 0.796 0.931 0.500
Pt10 Pt 0.931 0.204 0.500
```

Calculated values
SG   P4/mbm
Raw total energy   -127.5 eV for the cell shown
Crystal system   tetragonal

***

Record 2
Density functional theory data (PBE) for crystalline Ac2PrYTm at its relaxed geometry.

Geometry as CIF:
```
data_Ac2PrYTm
_cell_length_a 6.476
_cell_length_b 8.973
_cell_length_c 6.713
_cell_angle_alpha 90.00
_cell_angle_beta 90.00
_cell_angle_gamma 90.00
_symmetry_space_group_name_H-M 'P 1'
_symmetry_Int_Tables_number 1
_symmetry_space_group_name_Hall 'P 1'
loop_
_atom_site_label
_atom_site_type_symbol
_atom_site_fract_x
_atom_site_fract_y
_atom_site_fract_z
Ac1 Ac 0.250 0.204 0.214
Ac2 Ac 0.250 0.796 0.214
Ac3 Ac 0.750 0.204 0.786
Ac4 Ac 0.750 0.796 0.786
Pr1 Pr 0.250 0.500 0.919
Pr2 Pr 0.750 0.500 0.081
Y1 Y 0.250 0.000 0.688
Y2 Y 0.750 0.000 0.312
Tm1 Tm 0.000 0.500 0.500
Tm2 Tm 0.500 0.500 0.500
```

Calculated values
SG   Pmma
Raw total energy   -45.3 eV for the cell shown
Crystal system   orthorhombic

***

Record 3
Density functional theory data (PBE) for crystalline HPd3Pt at its relaxed geometry.

Geometry as CIF:
```
data_HPd3Pt
_cell_length_a 4.931
_cell_length_b 5.663
_cell_length_c 5.666
_cell_angle_alpha 60.96
_cell_angle_beta 89.69
_cell_angle_gamma 73.12
_symmetry_space_group_name_H-M 'P 1'
_symmetry_Int_Tables_number 1
_symmetry_space_group_name_Hall 'P 1'
loop_
_atom_site_label
_atom_site_type_symbol
_atom_site_fract_x
_atom_site_fract_y
_atom_site_fract_z
H1 H 0.114 0.145 0.432
H2 H 0.886 0.855 0.568
Pd1 Pd 0.003 0.996 0.763
Pd2 Pd 0.012 0.481 0.761
Pd3 Pd 0.500 0.000 0.500
Pd4 Pd 0.500 0.500 0.500
Pd5 Pd 0.988 0.519 0.239
Pd6 Pd 0.997 0.004 0.237
Pt1 Pt 0.500 0.000 0.000
Pt2 Pt 0.500 0.500 0.000
```

Calculated values
SG   P-1
Raw total energy   -50.2 eV for the cell shown
Crystal system   triclinic
Polymorph energy (0 for the lowest one)   12 meV per atom

***

Record 4
Density functional theory data (PBE) for crystalline Nb3BiB at its relaxed geometry.

Geometry as CIF:
```
data_Nb3BiB
_cell_length_a 5.149
_cell_length_b 5.149
_cell_length_c 5.149
_cell_angle_alpha 90.00
_cell_angle_beta 90.00
_cell_angle_gamma 90.00
_symmetry_space_group_name_H-M 'P 1'
_symmetry_Int_Tables_number 1
_symmetry_space_group_name_Hall 'P 1'
loop_
_atom_site_label
_atom_site_type_symbol
_atom_site_fract_x
_atom_site_fract_y
_atom_site_fract_z
Nb1 Nb 0.000 0.000 0.500
Nb2 Nb 0.000 0.500 0.000
Nb3 Nb 0.500 0.000 0.000
Bi1 Bi 0.000 0.000 0.000
B1 B 0.500 0.500 0.500
```

Calculated values
SG   Pm-3m
Raw total energy   -26.7 eV for the cell shown
Crystal system   cubic
Polymorph energy (0 for the lowest one)   2718 meV per atom

***

Record 5
Density functional theory data (PBE) for crystalline Cs3LaTh3Te8 at its relaxed geometry.

Geometry as CIF:
```
data_Cs3LaTh3Te8
_cell_length_a 10.590
_cell_length_b 10.590
_cell_length_c 10.590
_cell_angle_alpha 50.89
_cell_angle_beta 50.89
_cell_angle_gamma 50.89
_symmetry_space_group_name_H-M 'P 1'
_symmetry_Int_Tables_number 1
_symmetry_space_group_name_Hall 'P 1'
loop_
_atom_site_label
_atom_site_type_symbol
_atom_site_fract_x
_atom_site_fract_y
_atom_site_fract_z
Cs1 Cs 0.000 0.500 0.500
Cs2 Cs 0.500 0.000 0.500
Cs3 Cs 0.500 0.500 0.000
La1 La 0.500 0.500 0.500
Th1 Th 0.000 0.000 0.500
Th2 Th 0.000 0.500 0.000
Th3 Th 0.500 0.000 0.000
Te1 Te 0.223 0.738 0.738
Te2 Te 0.233 0.233 0.233
Te3 Te 0.262 0.262 0.777
Te4 Te 0.262 0.777 0.262
Te5 Te 0.738 0.223 0.738
Te6 Te 0.738 0.738 0.223
Te7 Te 0.767 0.767 0.767
Te8 Te 0.777 0.262 0.262
```

Calculated values
SG   R-3m
Uncorrected formation energy   -1271 meV/atom
Raw total energy   -73.9 eV for the cell shown
Crystal system   trigonal

***

Record 6
Density functional theory data (PBE) for crystalline GdScPtAu at its relaxed geometry.

Geometry as CIF:
```
data_GdScPtAu
_cell_length_a 4.914
_cell_length_b 4.914
_cell_length_c 4.914
_cell_angle_alpha 60.00
_cell_angle_beta 60.00
_cell_angle_gamma 60.00
_symmetry_space_group_name_H-M 'P 1'
_symmetry_Int_Tables_number 1
_symmetry_space_group_name_Hall 'P 1'
loop_
_atom_site_label
_atom_site_type_symbol
_atom_site_fract_x
_atom_site_fract_y
_atom_site_fract_z
Gd1 Gd 0.000 0.000 0.000
Sc1 Sc 0.500 0.500 0.500
Pt1 Pt 0.750 0.750 0.750
Au1 Au 0.250 0.250 0.250
```

Calculated values
SG   F-43m
Raw total energy   -33.5 eV for the cell shown
Crystal system   cubic

***

Record 7
Density functional theory data (PBE) for crystalline PuBeH4 at its relaxed geometry.

Geometry as CIF:
```
data_PuBeH4
_cell_length_a 5.174
_cell_length_b 5.174
_cell_length_c 4.158
_cell_angle_alpha 99.22
_cell_angle_beta 99.22
_cell_angle_gamma 110.55
_symmetry_space_group_name_H-M 'P 1'
_symmetry_Int_Tables_number 1
_symmetry_space_group_name_Hall 'P 1'
loop_
_atom_site_label
_atom_site_type_symbol
_atom_site_fract_x
_atom_site_fract_y
_atom_site_fract_z
Pu1 Pu 0.148 0.852 0.750
Pu2 Pu 0.852 0.148 0.250
Be1 Be 0.500 0.500 0.250
Be2 Be 0.500 0.500 0.750
H1 H 0.088 0.285 0.821
H2 H 0.285 0.088 0.321
H3 H 0.291 0.525 0.458
H4 H 0.475 0.709 0.042
H5 H 0.525 0.291 0.958
H6 H 0.709 0.475 0.542
H7 H 0.715 0.912 0.679
H8 H 0.912 0.715 0.179
```

Calculated values
SG   C2/c
Raw total energy   -64.1 eV for the cell shown
Crystal system   monoclinic
Polymorph energy (0 for the lowest one)   139 meV per atom

***

Record 8
Density functional theory data (PBE) for crystalline OsRhCl at its relaxed geometry.

Geometry as CIF:
```
data_OsRhCl
_cell_length_a 4.198
_cell_length_b 4.198
_cell_length_c 4.198
_cell_angle_alpha 60.00
_cell_angle_beta 60.00
_cell_angle_gamma 60.00
_symmetry_space_group_name_H-M 'P 1'
_symmetry_Int_Tables_number 1
_symmetry_space_group_name_Hall 'P 1'
loop_
_atom_site_label
_atom_site_type_symbol
_atom_site_fract_x
_atom_site_fract_y
_atom_site_fract_z
Os1 Os 0.000 0.000 0.000
Rh1 Rh 0.750 0.750 0.750
Cl1 Cl 0.250 0.250 0.250
```

Calculated values
SG   F-43m
Uncorrected formation energy   951 meV/atom
Raw total energy   -17.6 eV for the cell shown
Crystal system   cubic
Polymorph energy (0 for the lowest one)   436 meV per atom